1.
A relaxed structure of Pm2TeF. Source: Alexandria, functional PBE.

a = 8.7735 Å, b = 8.7735 Å, c = 8.7735 Å
α = 27.56°, β = 27.56°, γ = 27.56°
Last column: nearest neighbours and their distance in Å.
Positions (direct):
Pm (0.0888, 0.0888, 0.0888)  1 F 2.25
Pm (0.9112, 0.9112, 0.9112)  1 F 2.25
Te (0.5000, 0.5000, 0.5000)  6 Pm 3.12
F (0.0000, 0.0000, 0.0000)  2 Pm 2.25

As for the total magnetization: 0.000 μB/f.u. The value obtained for the final energy is -21.62 eV/cell.

=====

2.
A relaxed structure of PmTeF3. Source: Alexandria, functional PBE.

a = 6.7295 Å, b = 6.7295 Å, c = 6.8159 Å
α = 90.00°, β = 90.00°, γ = 120.00°
Last column: nearest neighbours and their distance in Å.
Positions (direct):
Pm (0.0000, 0.0000, 0.0000)  6 F 2.31
Pm (0.0000, 0.0000, 0.5000)  6 F 2.31
Te (0.3333, 0.6667, 0.2500)  6 F 3.39
Te (0.6667, 0.3333, 0.7500)  6 F 3.39
F (0.1336, 0.2673, 0.7500)  2 Pm 2.31
F (0.1336, 0.8664, 0.7500)  2 Pm 2.31
F (0.2673, 0.1336, 0.2500)  2 Pm 2.31
F (0.7327, 0.8664, 0.7500)  2 Pm 2.31
F (0.8664, 0.1336, 0.2500)  2 Pm 2.31
F (0.8664, 0.7327, 0.2500)  2 Pm 2.31

As for the total magnetization: 2.000 μB/f.u. The value obtained for the final energy is -52.76 eV/cell.

=====

3.
A relaxed structure of Pm2ThF. Source: Alexandria, functional PBE.

a = 9.0599 Å, b = 9.0599 Å, c = 9.0599 Å
α = 23.52°, β = 23.52°, γ = 23.52°
Last column: nearest neighbours and their distance in Å.
Positions (direct):
Pm (0.2286, 0.2286, 0.2286)  3 F 2.69
Pm (0.7714, 0.7714, 0.7714)  3 F 2.69
Th (0.0000, 0.0000, 0.0000)  6 Pm 3.49, 6 Th 3.69
F (0.5000, 0.5000, 0.5000)  6 Pm 2.69

As for the total magnetization: 0.000 μB/f.u. The value obtained for the final energy is -23.46 eV/cell.

=====

4.
A relaxed structure of Pm2ThF11. Source: Alexandria, functional PBE.

a = 8.9294 Å, b = 8.9294 Å, c = 8.9294 Å
α = 122.29°, β = 107.60°, γ = 99.40°
Last column: nearest neighbours and their distance in Å.
Positions (direct):
Pm (0.1902, 0.1609, 0.3511)  7 F 2.27-2.44
Pm (0.3098, 0.6609, 0.9706)  7 F 2.27-2.44
Pm (0.6902, 0.3391, 0.0294)  7 F 2.27-2.44
Pm (0.8098, 0.8391, 0.6489)  7 F 2.27-2.44
Th (0.2500, 0.7500, 0.5000)  8 F 2.34-2.35
Th (0.7500, 0.2500, 0.5000)  8 F 2.34-2.35
F (0.0000, 0.0000, 0.0000)  2 F 2.19, 2 Pm 2.44
F (0.0276, 0.4571, 0.7678)  1 Pm 2.27, 1 Th 2.34
F (0.0567, 0.8381, 0.6255)  1 Pm 2.28, 1 Th 2.35
F (0.1877, 0.8907, 0.0783)  1 F 2.19, 2 Pm 2.33-2.36
F (0.1893, 0.9571, 0.4295)  1 Pm 2.27, 1 Th 2.34
F (0.2126, 0.4313, 0.3745)  1 Pm 2.28, 1 Th 2.35
F (0.2874, 0.6619, 0.2186)  1 Pm 2.28, 1 Th 2.35
F (0.3107, 0.7402, 0.7678)  1 Pm 2.27, 1 Th 2.34
F (0.3123, 0.3907, 0.7030)  1 F 2.19, 2 Pm 2.33-2.36
F (0.4433, 0.0687, 0.7814)  1 Pm 2.28, 1 Th 2.35
F (0.4724, 0.2402, 0.4295)  1 Pm 2.27, 1 Th 2.34
F (0.5000, 0.5000, 0.0000)  2 F 2.19, 2 Pm 2.44
F (0.5276, 0.7598, 0.5705)  1 Pm 2.27, 1 Th 2.34
F (0.5567, 0.9313, 0.2186)  1 Pm 2.28, 1 Th 2.35
F (0.6877, 0.6093, 0.2970)  1 F 2.19, 2 Pm 2.33-2.36
F (0.6893, 0.2598, 0.2322)  1 Pm 2.27, 1 Th 2.34
F (0.7126, 0.3381, 0.7814)  1 Pm 2.28, 1 Th 2.35
F (0.7874, 0.5687, 0.6255)  1 Pm 2.28, 1 Th 2.35
F (0.8107, 0.0429, 0.5705)  1 Pm 2.27, 1 Th 2.34
F (0.8123, 0.1093, 0.9217)  1 F 2.19, 2 Pm 2.33-2.36
F (0.9433, 0.1619, 0.3745)  1 Pm 2.28, 1 Th 2.35
F (0.9724, 0.5429, 0.2322)  1 Pm 2.27, 1 Th 2.34

As for the total magnetization: 1.130 μB/f.u. The value obtained for the final energy is -180.92 eV/cell.

=====

5.
A relaxed structure of PmTi2F11. Source: Alexandria, functional PBE.

a = 8.1155 Å, b = 8.1155 Å, c = 8.1155 Å
α = 125.01°, β = 105.91°, γ = 98.75°
Last column: nearest neighbours and their distance in Å.
Positions (direct):
Pm (0.2500, 0.2500, 0.0000)  8 F 2.34-2.38
Pm (0.7500, 0.7500, 0.0000)  8 F 2.34-2.38
Ti (0.1803, 0.6265, 0.8068)  7 F 1.92-2.12
Ti (0.3197, 0.1265, 0.4462)  7 F 1.92-2.12
Ti (0.6803, 0.8735, 0.5538)  7 F 1.92-2.12
Ti (0.8197, 0.3735, 0.1932)  7 F 1.92-2.12
F (0.0000, 0.5000, 0.5000)  2 Ti 2.00
F (0.0453, 0.3706, 0.1615)  1 Ti 1.92
F (0.0536, 0.9752, 0.2933)  1 Ti 1.92
F (0.1819, 0.4752, 0.9216)  1 Ti 1.92
F (0.2091, 0.8838, 0.8385)  1 Ti 1.92
F (0.2168, 0.3753, 0.5921)  2 Ti 1.92-2.12
F (0.2832, 0.8753, 0.1585)  2 Ti 1.92-2.12
F (0.2909, 0.1294, 0.6748)  1 Ti 1.92
F (0.3181, 0.2397, 0.2933)  1 Ti 1.92
F (0.4464, 0.7397, 0.9216)  1 Ti 1.92
F (0.4547, 0.6162, 0.3252)  1 Ti 1.92
F (0.5000, 0.0000, 0.5000)  2 Ti 2.00
F (0.5453, 0.3838, 0.6748)  1 Ti 1.92
F (0.5536, 0.2603, 0.0784)  1 Ti 1.92
F (0.6819, 0.7603, 0.7067)  1 Ti 1.92
F (0.7091, 0.8706, 0.3252)  1 Ti 1.92
F (0.7168, 0.1247, 0.8415)  2 Ti 1.92-2.12
F (0.7832, 0.6247, 0.4079)  2 Ti 1.92-2.12
F (0.7909, 0.1162, 0.1615)  1 Ti 1.92
F (0.8181, 0.5248, 0.0784)  1 Ti 1.92
F (0.9464, 0.0248, 0.7067)  1 Ti 1.92
F (0.9547, 0.6294, 0.8385)  1 Ti 1.92

As for the total magnetization: 0.000 μB/f.u. The value obtained for the final energy is -180.77 eV/cell.

=====

6.
A relaxed structure of PmTl2F5. Source: Alexandria, functional PBE.

a = 11.5421 Å, b = 7.6482 Å, c = 7.0606 Å
α = 90.00°, β = 90.00°, γ = 90.00°
Last column: nearest neighbours and their distance in Å.
Positions (direct):
Pm (0.0023, 0.2500, 0.0608)  7 F 2.28-2.39
Pm (0.4977, 0.7500, 0.5608)  7 F 2.28-2.39
Pm (0.5023, 0.2500, 0.4392)  7 F 2.28-2.39
Pm (0.9977, 0.7500, 0.9392)  7 F 2.28-2.39
Tl (0.1720, 0.0014, 0.5175)  7 F 2.75-3.08
Tl (0.1720, 0.4986, 0.5175)  7 F 2.75-3.08
Tl (0.3280, 0.5014, 0.0175)  7 F 2.75-3.08
Tl (0.3280, 0.9986, 0.0175)  7 F 2.75-3.08
Tl (0.6720, 0.0014, 0.9825)  7 F 2.75-3.08
Tl (0.6720, 0.4986, 0.9825)  7 F 2.75-3.08
Tl (0.8280, 0.5014, 0.4825)  7 F 2.75-3.08
Tl (0.8280, 0.9986, 0.4825)  7 F 2.75-3.08
F (0.0197, 0.2500, 0.3831)  1 Pm 2.28
F (0.0734, 0.5332, 0.1415)  2 Pm 2.36-2.39
F (0.0734, 0.9668, 0.1415)  2 Pm 2.36-2.39
F (0.1638, 0.2500, 0.8737)  1 Pm 2.28
F (0.1898, 0.7500, 0.8495)  1 Pm 2.31
F (0.3102, 0.2500, 0.3495)  1 Pm 2.31
F (0.3362, 0.7500, 0.3737)  1 Pm 2.28
F (0.4266, 0.0332, 0.6415)  2 Pm 2.36-2.39
F (0.4266, 0.4668, 0.6415)  2 Pm 2.36-2.39
F (0.4803, 0.7500, 0.8831)  1 Pm 2.28
F (0.5197, 0.2500, 0.1169)  1 Pm 2.28
F (0.5734, 0.5332, 0.3585)  2 Pm 2.36-2.39
F (0.5734, 0.9668, 0.3585)  2 Pm 2.36-2.39
F (0.6638, 0.2500, 0.6263)  1 Pm 2.28
F (0.6898, 0.7500, 0.6505)  1 Pm 2.31
F (0.8102, 0.2500, 0.1505)  1 Pm 2.31
F (0.8362, 0.7500, 0.1263)  1 Pm 2.28
F (0.9266, 0.0332, 0.8585)  2 Pm 2.36-2.39
F (0.9266, 0.4668, 0.8585)  2 Pm 2.36-2.39
F (0.9803, 0.7500, 0.6169)  1 Pm 2.28

As for the total magnetization: 0.000 μB/f.u. The value obtained for the final energy is -169.44 eV/cell.

=====

7.
A relaxed structure of Pm3TlF. Source: Alexandria, functional PBE.

a = 5.0147 Å, b = 5.0147 Å, c = 5.0147 Å
α = 90.00°, β = 90.00°, γ = 90.00°
Last column: nearest neighbours and their distance in Å.
Positions (direct):
Pm (0.0000, 0.0000, 0.5000)  2 F 2.51
Pm (0.0000, 0.5000, 0.0000)  2 F 2.51
Pm (0.5000, 0.0000, 0.0000)  2 F 2.51
Tl (0.5000, 0.5000, 0.5000)  12 Pm 3.55
F (0.0000, 0.0000, 0.0000)  6 Pm 2.51

As for the total magnetization: 0.000 μB/f.u. The value obtained for the final energy is -23.80 eV/cell.

=====

8.
A relaxed structure of PmTlF6. Source: Alexandria, functional PBE.

a = 6.2723 Å, b = 6.2723 Å, c = 6.2723 Å
α = 54.32°, β = 54.32°, γ = 54.32°
Last column: nearest neighbours and their distance in Å.
Positions (direct):
Pm (0.0000, 0.0000, 0.0000)  6 F 2.27
Tl (0.5000, 0.5000, 0.5000)  6 F 2.19
F (0.1375, 0.7427, 0.3732)  1 Tl 2.19, 1 Pm 2.27
F (0.2573, 0.6268, 0.8625)  1 Tl 2.19, 1 Pm 2.27
F (0.3732, 0.1375, 0.7427)  1 Tl 2.19, 1 Pm 2.27
F (0.6268, 0.8625, 0.2573)  1 Tl 2.19, 1 Pm 2.27
F (0.7427, 0.3732, 0.1375)  1 Tl 2.19, 1 Pm 2.27
F (0.8625, 0.2573, 0.6268)  1 Tl 2.19, 1 Pm 2.27

As for the total magnetization: 0.000 μB/f.u. As for the energy relative to the lowest polymorph listed for this composition: 3 meV per atom. The value obtained for the final energy is -41.73 eV/cell.

=====

9.
A relaxed structure of Pm2TlF. Source: Alexandria, functional PBE.

a = 3.4088 Å, b = 3.4088 Å, c = 8.0609 Å
α = 90.00°, β = 90.00°, γ = 90.00°
Last column: nearest neighbours and their distance in Å.
Positions (direct):
Pm (0.0000, 0.0000, 0.2272)  4 F 3.03, 4 Tl 3.26
Pm (0.0000, 0.0000, 0.7728)  4 F 3.03, 4 Tl 3.26
Tl (0.5000, 0.5000, 0.5000)  8 Pm 3.26, 4 Tl 3.41
F (0.5000, 0.5000, 0.0000)  8 Pm 3.03

As for the total magnetization: 0.000 μB/f.u. As for the energy relative to the lowest polymorph listed for this composition: 239 meV per atom. The value obtained for the final energy is -18.03 eV/cell.

=====

10.
A relaxed structure of PmTl2F11. Source: Alexandria, functional PBE.

a = 8.7336 Å, b = 8.7336 Å, c = 8.7336 Å
α = 122.69°, β = 106.74°, γ = 99.89°
Last column: nearest neighbours and their distance in Å.
Positions (direct):
Pm (0.2500, 0.2500, 0.0000)  8 F 2.35
Pm (0.7500, 0.7500, 0.0000)  8 F 2.35
Tl (0.1919, 0.6668, 0.8587)  6 F 2.17-2.29
Tl (0.3081, 0.1668, 0.4749)  6 F 2.17-2.29
Tl (0.6919, 0.8332, 0.5251)  6 F 2.17-2.29
Tl (0.8081, 0.3332, 0.1413)  6 F 2.17-2.29
F (0.0000, 0.5000, 0.5000)  2 F 2.15
F (0.0315, 0.9616, 0.2779)  1 Tl 2.19, 1 Pm 2.35
F (0.0571, 0.3435, 0.1370)  1 Tl 2.17, 1 Pm 2.35
F (0.1837, 0.4616, 0.9300)  1 Tl 2.19, 1 Pm 2.35
F (0.1885, 0.3965, 0.5850)  1 F 2.15, 2 Tl 2.26-2.29
F (0.2065, 0.9201, 0.8630)  1 Tl 2.17, 1 Pm 2.35
F (0.2935, 0.1565, 0.7136)  1 Tl 2.17, 1 Pm 2.35
F (0.3115, 0.8965, 0.2080)  1 F 2.15, 2 Tl 2.26-2.29
F (0.3163, 0.2463, 0.2779)  1 Tl 2.19, 1 Pm 2.35
F (0.4429, 0.5799, 0.2864)  1 Tl 2.17, 1 Pm 2.35
F (0.4685, 0.7463, 0.9300)  1 Tl 2.19, 1 Pm 2.35
F (0.5000, 0.0000, 0.5000)  2 F 2.15
F (0.5315, 0.2537, 0.0700)  1 Tl 2.19, 1 Pm 2.35
F (0.5571, 0.4201, 0.7136)  1 Tl 2.17, 1 Pm 2.35
F (0.6837, 0.7537, 0.7221)  1 Tl 2.19, 1 Pm 2.35
F (0.6885, 0.1035, 0.7920)  1 F 2.15, 2 Tl 2.26-2.29
F (0.7065, 0.8435, 0.2864)  1 Tl 2.17, 1 Pm 2.35
F (0.7935, 0.0799, 0.1370)  1 Tl 2.17, 1 Pm 2.35
F (0.8115, 0.6035, 0.4150)  1 F 2.15, 2 Tl 2.26-2.29
F (0.8163, 0.5384, 0.0700)  1 Tl 2.19, 1 Pm 2.35
F (0.9429, 0.6565, 0.8630)  1 Tl 2.17, 1 Pm 2.35
F (0.9685, 0.0384, 0.7221)  1 Tl 2.19, 1 Pm 2.35

As for the total magnetization: 2.204 μB/f.u. The value obtained for the final energy is -119.05 eV/cell.

=====

11.
A relaxed structure of Pm2TlF11. Source: Alexandria, functional PBE.

a = 8.7860 Å, b = 8.7860 Å, c = 8.7860 Å
α = 121.34°, β = 107.41°, γ = 100.41°
Last column: nearest neighbours and their distance in Å.
Positions (direct):
Pm (0.1906, 0.1637, 0.3542)  7 F 2.27-2.43
Pm (0.3094, 0.6637, 0.9731)  7 F 2.27-2.43
Pm (0.6906, 0.3363, 0.0269)  7 F 2.27-2.43
Pm (0.8094, 0.8363, 0.6458)  7 F 2.27-2.43
Tl (0.2500, 0.7500, 0.5000)  8 F 2.28
Tl (0.7500, 0.2500, 0.5000)  8 F 2.28
F (0.0000, 0.0000, 0.0000)  2 F 2.17, 2 Pm 2.43
F (0.0222, 0.4525, 0.7717)  1 Pm 2.27, 1 Tl 2.28
F (0.0628, 0.8346, 0.6282)  1 Pm 2.28, 1 Tl 2.28
F (0.1808, 0.9525, 0.4303)  1 Pm 2.27, 1 Tl 2.28
F (0.1894, 0.8933, 0.0827)  1 F 2.17, 2 Pm 2.33-2.34
F (0.2065, 0.4347, 0.3718)  1 Pm 2.28, 1 Tl 2.28
F (0.2935, 0.6654, 0.2282)  1 Pm 2.28, 1 Tl 2.28
F (0.3106, 0.3933, 0.7039)  1 F 2.17, 2 Pm 2.33-2.34
F (0.3192, 0.7494, 0.7717)  1 Pm 2.27, 1 Tl 2.28
F (0.4372, 0.0653, 0.7718)  1 Pm 2.28, 1 Tl 2.28
F (0.4778, 0.2494, 0.4303)  1 Pm 2.27, 1 Tl 2.28
F (0.5000, 0.5000, 0.0000)  2 F 2.17, 2 Pm 2.43
F (0.5222, 0.7506, 0.5697)  1 Pm 2.27, 1 Tl 2.28
F (0.5628, 0.9347, 0.2282)  1 Pm 2.28, 1 Tl 2.28
F (0.6808, 0.2506, 0.2283)  1 Pm 2.27, 1 Tl 2.28
F (0.6894, 0.6067, 0.2961)  1 F 2.17, 2 Pm 2.33-2.34
F (0.7065, 0.3346, 0.7718)  1 Pm 2.28, 1 Tl 2.28
F (0.7935, 0.5653, 0.6282)  1 Pm 2.28, 1 Tl 2.28
F (0.8106, 0.1067, 0.9173)  1 F 2.17, 2 Pm 2.33-2.34
F (0.8192, 0.0475, 0.5697)  1 Pm 2.27, 1 Tl 2.28
F (0.9372, 0.1654, 0.3718)  1 Pm 2.28, 1 Tl 2.28
F (0.9778, 0.5475, 0.2283)  1 Pm 2.27, 1 Tl 2.28

As for the total magnetization: 2.113 μB/f.u. The value obtained for the final energy is -141.32 eV/cell.

=====

12.
A relaxed structure of PmTlF6. Source: Alexandria, functional PBE.

a = 4.0445 Å, b = 5.9936 Å, c = 6.0050 Å
α = 95.24°, β = 109.67°, γ = 109.32°
Last column: nearest neighbours and their distance in Å.
Positions (direct):
Pm (0.0000, 0.0000, 0.0000)  8 F 2.28-2.40
Tl (0.0000, 0.5000, 0.5000)  8 F 2.15-2.41
F (0.0018, 0.7411, 0.2564)  1 Tl 2.15, 1 Pm 2.28
F (0.3310, 0.2776, 0.3902)  2 Tl 2.37-2.41, 1 Pm 2.40, 3 F 2.53-2.54
F (0.3350, 0.7788, 0.8865)  1 Tl 2.39, 2 Pm 2.39, 3 F 2.53-2.54
F (0.6650, 0.2212, 0.1135)  1 Tl 2.39, 2 Pm 2.39, 3 F 2.53-2.54
F (0.6690, 0.7224, 0.6098)  2 Tl 2.37-2.41, 1 Pm 2.40, 3 F 2.53-2.54
F (0.9982, 0.2589, 0.7436)  1 Tl 2.15, 1 Pm 2.28

As for the total magnetization: 0.000 μB/f.u. As for the energy relative to the lowest polymorph listed for this composition: 0 meV per atom. The value obtained for the final energy is -41.75 eV/cell.